# Nd3YSc2Te6 PBE optimized geometry
data_Nd3YSc2Te6
_space_group_name_H-M_alt 'C 1 2/m 1'
_space_group_IT_number 12
_cell_length_a 19.1414
_cell_length_b 4.3219
_cell_length_c 8.8324
_cell_angle_alpha 90.00
_cell_angle_beta 104.64
_cell_angle_gamma 90.00
loop_
_space_group_symop_operation_xyz
'x,y,z'
'-x,-y,-z'
'-x,y,-z'
'x,-y,z'
'x+1/2,y+1/2,z'
'-x+1/2,-y+1/2,-z'
'-x+1/2,y+1/2,-z'
'x+1/2,-y+1/2,z'
loop_
_atom_site_label
_atom_site_type_symbol
_atom_site_fract_x
_atom_site_fract_y
_atom_site_fract_z
Nd1 Nd 0.0000 0.0000 0.0000
Nd2 Nd 0.1618 0.5000 0.3284
Y1 Y 0.0000 0.0000 0.5000
Sc1 Sc 0.1665 0.5000 0.8320
Te1 Te 0.0086 0.5000 0.7469
Te2 Te 0.1667 0.0000 0.5991
Te3 Te 0.1729 0.0000 0.0676
# Volume (Å³/atom): 29.5
# ΔE_f (raw) (eV per atom): -1.29